First-principles (PBE-GGA) data for crystalline YIrC3 at its relaxed geometry, as listed in Alexandria.

Results
- Symmetry: No. 221
- ΔE_f: 1232 meV/atom
- Crystal system: cubic

abc: 4.015 4.015 4.015
angles: 90.00 90.00 90.00
Positions (direct):
1 Y 0.000 0.000 0.000
2 Ir 0.500 0.500 0.500
3 C 0.000 0.500 0.500
4 C 0.500 0.000 0.500
5 C 0.500 0.500 0.000

First-principles (PBE-GGA) data for crystalline CsPaGaI6 at its relaxed geometry, as listed in Alexandria.

Results
- Symmetry: No. 163
- E_form (uncorrected): -0.9864 eV/atom
- Crystal system: trigonal

abc: 8.325 8.325 16.704
angles: 90.00 90.00 120.00
Positions (direct):
1 Cs 0.000 0.000 0.000
2 Cs 0.000 0.000 0.500
3 Pa 0.333 0.667 0.250
4 Pa 0.667 0.333 0.750
5 Ga 0.333 0.667 0.750
6 Ga 0.667 0.333 0.250
7 I 0.022 0.381 0.145
8 I 0.022 0.641 0.355
9 I 0.359 0.381 0.355
10 I 0.359 0.978 0.145
11 I 0.381 0.022 0.645
12 I 0.381 0.359 0.855
13 I 0.619 0.641 0.145
14 I 0.619 0.978 0.355
15 I 0.641 0.022 0.855
16 I 0.641 0.619 0.645
17 I 0.978 0.359 0.645
18 I 0.978 0.619 0.855

First-principles (PBE-GGA) data for crystalline Tb6PmTm3Sc2 at its relaxed geometry, as listed in Alexandria.

Results
- Symmetry: No. 12
- ΔE_f: 36 meV/atom
- Crystal system: monoclinic

abc: 6.065 6.065 11.575
angles: 94.99 94.99 119.96
Positions (direct):
1 Tb 0.081 0.417 0.752
2 Tb 0.247 0.247 0.248
3 Tb 0.417 0.081 0.752
4 Tb 0.583 0.919 0.248
5 Tb 0.753 0.753 0.752
6 Tb 0.919 0.583 0.248
7 Pm 0.500 0.500 0.000
8 Tm 0.000 0.000 0.500
9 Tm 0.333 0.667 0.500
10 Tm 0.667 0.333 0.500
11 Sc 0.167 0.833 0.000
12 Sc 0.833 0.167 0.000

Ρ per entry: 8.14, 3.96, 7.75 Mg/m³